[1]
{
  "formula": "Ba2HoCu3O6",
  "functional": "PBE-GGA",
  "state": "relaxed",
  "lattice_angstrom": [[3.8753, 0.0000, 0.0000], [0.0000, 3.8753, 0.0000], [0.0000, 0.0000, 12.1359]],
  "species": ["Ba", "Ba", "Ho", "Cu", "Cu", "Cu", "O", "O", "O", "O", "O", "O"],
  "fractional_positions": [[0.0000, 0.0000, 0.1963], [0.0000, 0.0000, 0.8037], [0.0000, 0.0000, 0.5000], [0.5000, 0.5000, 0.0000], [0.5000, 0.5000, 0.3688], [0.5000, 0.5000, 0.6312], [0.0000, 0.5000, 0.3823], [0.0000, 0.5000, 0.6177], [0.5000, 0.0000, 0.3823], [0.5000, 0.0000, 0.6177], [0.5000, 0.5000, 0.1494], [0.5000, 0.5000, 0.8506]],
  "volume_a3_per_cell": 182.3,
  "formation_energy_uncorrected_ev_per_atom": -1.89,
  "m_tot_mub_per_atom": 0.000,
  "dft_energy_ev_per_fu": -73.14
}

=====

[2]
{
  "formula": "BaHoCuO3",
  "functional": "PBE-GGA",
  "state": "relaxed",
  "lattice_angstrom": [[1.8590, -6.5495, 0.0000], [1.8590, 6.5495, 0.0000], [0.0000, 0.0000, 8.4728]],
  "species": ["Ba", "Ba", "Ho", "Ho", "Cu", "Cu", "O", "O", "O", "O", "O", "O"],
  "fractional_positions": [[0.1947, 0.8053, 0.7500], [0.8053, 0.1947, 0.2500], [0.5000, 0.5000, 0.0000], [0.5000, 0.5000, 0.5000], [0.1038, 0.8962, 0.2500], [0.8962, 0.1038, 0.7500], [0.1097, 0.8903, 0.0348], [0.1097, 0.8903, 0.4652], [0.4395, 0.5605, 0.2500], [0.5605, 0.4395, 0.7500], [0.8903, 0.1097, 0.5348], [0.8903, 0.1097, 0.9652]],
  "volume_a3_per_cell": 206.3,
  "formation_energy_uncorrected_ev_per_atom": -2.41,
  "m_tot_mub_per_atom": 0.000,
  "dft_energy_ev_per_fu": -39.91
}

=====

[3]
{
  "formula": "Ba2Ho2CuPtO8",
  "functional": "PBE-GGA",
  "state": "relaxed",
  "lattice_angstrom": [[13.3422, 0.0000, 0.0000], [0.0000, 5.7218, 0.0000], [0.0000, 0.0000, 10.4290]],
  "species": ["Ba", "Ba", "Ba", "Ba", "Ba", "Ba", "Ba", "Ba", "Ho", "Ho", "Ho", "Ho", "Ho", "Ho", "Ho", "Ho", "Cu", "Cu", "Cu", "Cu", "Pt", "Pt", "Pt", "Pt", "O", "O", "O", "O", "O", "O", "O", "O", "O", "O", "O", "O", "O", "O", "O", "O", "O", "O", "O", "O", "O", "O", "O", "O", "O", "O", "O", "O", "O", "O", "O", "O"],
  "fractional_positions": [[0.0763, 0.2500, 0.0897], [0.2073, 0.7500, 0.3122], [0.2927, 0.2500, 0.8122], [0.4237, 0.7500, 0.5897], [0.5763, 0.2500, 0.4103], [0.7073, 0.7500, 0.1878], [0.7927, 0.2500, 0.6878], [0.9237, 0.7500, 0.9103], [0.0832, 0.2500, 0.4853], [0.1421, 0.7500, 0.6858], [0.3579, 0.2500, 0.1858], [0.4168, 0.7500, 0.9853], [0.5833, 0.2500, 0.0147], [0.6421, 0.7500, 0.8142], [0.8579, 0.2500, 0.3142], [0.9168, 0.7500, 0.5147], [0.0396, 0.2500, 0.7653], [0.4604, 0.7500, 0.2653], [0.5396, 0.2500, 0.7347], [0.9604, 0.7500, 0.2347], [0.1942, 0.7500, 0.9654], [0.3058, 0.2500, 0.4654], [0.6942, 0.7500, 0.5346], [0.8058, 0.2500, 0.0346], [0.0084, 0.0062, 0.6348], [0.0084, 0.4938, 0.6348], [0.0883, 0.7500, 0.1066], [0.1142, 0.5079, 0.8582], [0.1142, 0.9921, 0.8582], [0.2034, 0.2500, 0.3121], [0.2159, 0.0090, 0.5541], [0.2159, 0.4910, 0.5541], [0.2841, 0.5090, 0.0541], [0.2841, 0.9910, 0.0541], [0.2966, 0.7500, 0.8121], [0.3858, 0.0079, 0.3582], [0.3858, 0.4921, 0.3582], [0.4117, 0.2500, 0.6066], [0.4916, 0.5062, 0.1348], [0.4916, 0.9938, 0.1348], [0.5084, 0.0062, 0.8652], [0.5084, 0.4938, 0.8652], [0.5883, 0.7500, 0.3934], [0.6142, 0.5079, 0.6418], [0.6142, 0.9921, 0.6418], [0.7034, 0.2500, 0.1879], [0.7159, 0.0090, 0.9459], [0.7159, 0.4910, 0.9459], [0.7841, 0.5090, 0.4459], [0.7841, 0.9910, 0.4459], [0.7966, 0.7500, 0.6879], [0.8858, 0.0079, 0.1418], [0.8858, 0.4921, 0.1418], [0.9117, 0.2500, 0.8934], [0.9916, 0.5062, 0.3652], [0.9916, 0.9938, 0.3652]],
  "volume_a3_per_cell": 796.2,
  "formation_energy_uncorrected_ev_per_atom": -2.28,
  "m_tot_mub_per_atom": 0.075,
  "dft_energy_ev_per_fu": -94.79
}